NiHSe2: relaxed, PBE.

The structure belongs to space group P1 (No. 1); the cell edges are 3.585, 5.929 and 6.595 Å and the angles 96.83°, 98.99° and 91.02°. Symmetry generates all atoms from Ni at (0.000, 0.000, 0.000), Ni at (0.453, 0.385, 0.072), H at (0.288, 0.996, 0.600), H at (0.775, 0.818, 0.483), Se at (0.020, 0.285, 0.282), Se at (0.095, 0.798, 0.667), Se at (0.528, 0.792, 0.140) and Se at (0.877, 0.330, 0.836).

The value obtained for the magnetization is 0.0000 μB per atom. As for the energy above the lowest structure with this stoichiometry: 47 meV per atom. The total DFT energy (no corrections) is -4.111 eV per atom.